(1)
CsZnB2 PBE relaxed; energy of formation from the pure elements = 122 kJ/mol of atoms; symmetry = I4_1/amd, No. 141; spin magnetization = 0.0 μB/cell
1.0
-2.361 3.435 -3.406
1.320 -3.189 -4.131
-5.916 -2.946 -3.124
Cs Zn B
2 2 4
Direct
0.000 0.000 0.000
0.750 0.250 0.500
0.500 0.500 0.000
0.250 0.750 0.500
0.375 0.125 0.250
0.375 0.625 0.250
0.375 0.625 0.750
0.875 0.625 0.750

***

(2)
CsZnB PBE relaxed; energy of formation from the pure elements = 30 kJ/mol of atoms; symmetry = C2, No. 5; spin magnetization = 0.0 μB/cell; distance to the lowest polymorph of the same formula = 0.0 meV/atom
1.0
-0.101 3.861 1.356
-2.338 -1.722 4.728
19.060 -5.888 7.280
Cs Zn B
4 4 4
Direct
0.118 0.256 0.134
0.882 0.256 0.866
0.118 0.756 0.634
0.882 0.756 0.366
0.000 0.832 0.000
0.000 0.332 0.500
0.500 0.023 0.500
0.500 0.523 0.000
0.500 0.666 0.500
0.500 0.166 0.000
0.500 0.388 0.500
0.500 0.888 0.000

***

(3)
CsZnB PBE relaxed; energy of formation from the pure elements = 34 kJ/mol of atoms; symmetry = P-1, No. 2; spin magnetization = 0.0 μB/cell; distance to the lowest polymorph of the same formula = 36.0 meV/atom
1.0
4.754 -0.019 -0.002
-2.216 4.931 -0.009
-2.264 -1.847 10.592
Cs Zn B
2 2 2
Direct
0.832 0.403 0.743
0.168 0.597 0.257
0.500 0.000 0.000
0.500 0.500 0.000
0.138 0.143 0.000
0.862 0.857 0.000

***

(4)
CsZnB PBE relaxed; energy of formation from the pure elements = 76 kJ/mol of atoms; symmetry = P2/m, No. 10; spin magnetization = 0.0 μB/cell; distance to the lowest polymorph of the same formula = 471.8 meV/atom
1.0
-1.799 3.160 -1.614
0.009 -2.289 -4.491
-4.497 -2.080 1.052
Cs Zn B
1 1 1
Direct
0.000 0.500 0.500
0.500 0.000 0.000
0.000 0.000 0.000

***

(5)
CsZr3B PBE relaxed; energy of formation from the pure elements = 277 kJ/mol of atoms; symmetry = Pm-3m, No. 221; spin magnetization = 1.6 μB/cell; distance to the lowest polymorph of the same formula = 2154.6 meV/atom
1.0
-2.363 -0.306 4.644
1.433 -5.003 0.400
4.428 1.456 2.349
Cs B Zr
1 1 3
Direct
0.000 0.000 0.000
0.500 0.500 0.500
0.000 0.500 0.000
0.000 0.000 0.500
0.500 0.000 0.000

***

(6)
CsZrB2 PBE relaxed; energy of formation from the pure elements = 128 kJ/mol of atoms; symmetry = I4_1/amd, No. 141; spin magnetization = 0.0 μB/cell; distance to the lowest polymorph of the same formula = 0.0 meV/atom
1.0
-1.215 -3.653 -4.109
5.498 -0.823 -0.894
2.114 -7.736 2.395
Cs B Zr
2 4 2
Direct
0.000 0.000 0.000
0.750 0.250 0.500
0.375 0.125 0.250
0.375 0.625 0.250
0.375 0.625 0.750
0.875 0.625 0.750
0.500 0.500 0.000
0.250 0.750 0.500

***

(7)
CsZr3B PBE relaxed; energy of formation from the pure elements = 69 kJ/mol of atoms; symmetry = Pm-3m, No. 221; spin magnetization = 0.0 μB/cell; distance to the lowest polymorph of the same formula = 0.0 meV/atom
1.0
-1.462 4.137 2.135
-4.655 -1.280 -0.707
-0.039 -2.248 4.330
Cs B Zr
1 1 3
Direct
0.500 0.500 0.500
0.000 0.000 0.000
0.000 0.500 0.000
0.000 0.000 0.500
0.500 0.000 0.000

***

(8)
CsZrB2 PBE relaxed; energy of formation from the pure elements = 184 kJ/mol of atoms; symmetry = Fm-3m, No. 225; spin magnetization = 0.0 μB/cell; distance to the lowest polymorph of the same formula = 579.1 meV/atom
1.0
0.000 3.347 3.347
3.347 0.000 3.347
3.347 3.347 0.000
Cs B Zr
1 2 1
Direct
0.500 0.500 0.500
0.250 0.250 0.250
0.750 0.750 0.750
0.000 0.000 0.000

***

(9)
CuB PBE relaxed; energy of formation from the pure elements = 23 kJ/mol of atoms; symmetry = Pmmn, No. 59; spin magnetization = 0.0 μB/cell
1.0
2.925 0.000 0.000
0.000 4.225 0.000
0.000 0.000 9.442
Cu B
6 6
Direct
0.000 0.747 0.781
0.500 0.253 0.719
0.500 0.253 0.281
0.000 0.747 0.219
0.000 0.524 0.500
0.500 0.476 0.000
0.000 0.000 0.589
0.500 0.000 0.911
0.500 0.000 0.089
0.000 0.000 0.411
0.000 0.898 0.000
0.500 0.102 0.500

***

(10)
CuB PBE relaxed; energy of formation from the pure elements = 52 kJ/mol of atoms; symmetry = P4_2/mnm, No. 136; spin magnetization = 0.0 μB/cell
1.0
6.305 0.000 0.000
0.000 6.305 0.000
0.000 0.000 2.400
Cu B
4 4
Direct
0.277 0.277 0.000
0.777 0.223 0.500
0.223 0.777 0.500
0.723 0.723 0.000
0.408 0.592 0.000
0.908 0.908 0.500
0.092 0.092 0.500
0.592 0.408 0.000

***

(11)
CuB PBE relaxed; energy of formation from the pure elements = 119 kJ/mol of atoms; symmetry = I-43m, No. 217; spin magnetization = 0.0 μB/cell
1.0
6.284 0.000 0.000
0.000 6.284 0.000
0.000 0.000 6.284
Cu B
8 8
Direct
0.355 0.355 0.355
0.355 0.645 0.645
0.645 0.355 0.645
0.645 0.645 0.355
0.855 0.855 0.855
0.855 0.145 0.145
0.145 0.855 0.145
0.145 0.145 0.855
0.178 0.178 0.178
0.178 0.822 0.822
0.822 0.178 0.822
0.822 0.822 0.178
0.678 0.678 0.678
0.678 0.322 0.322
0.322 0.678 0.322
0.322 0.322 0.678

***

(12)
Cu3B PBE relaxed; energy of formation from the pure elements = 25 kJ/mol of atoms; symmetry = Immm, No. 71; spin magnetization = 0.0 μB/cell
1.0
2.634 0.000 0.000
0.000 3.952 0.000
-1.317 -1.976 4.006
B Cu
1 3
Direct
0.000 0.917 0.000
0.298 0.714 0.595
0.500 0.417 0.000
0.702 0.119 0.405